1.
A relaxed YCrFe2 crystal, computed with PBE.

Cell and atoms, written as CIF:
```
data_YCrFe2
_cell_length_a 4.485
_cell_length_b 4.485
_cell_length_c 3.151
_cell_angle_alpha 90.00
_cell_angle_beta 90.00
_cell_angle_gamma 90.00
_space_group_name_H-M_alt 'P 1'
_space_group_IT_number 1
_space_group_name_Hall 'P 1'
loop_
_atom_site_label
_atom_site_fract_x
_atom_site_fract_y
_atom_site_fract_z
Y1 0.000 0.000 0.000
Cr1 0.500 0.500 0.000
Fe1 0.000 0.500 0.500
Fe2 0.500 0.000 0.500
```

## Properties
* energy above the lowest structure with this stoichiometry: 301 meV per atom
* size of the total moment: 0.7 μB/cell
* E_form: 0.445 eV per atom

***

2.
A relaxed Y2Cr2Fe15 crystal, computed with PBE.

Cell and atoms, written as CIF:
```
data_Y2Cr2Fe15
_cell_length_a 8.316
_cell_length_b 8.316
_cell_length_c 8.292
_cell_angle_alpha 90.00
_cell_angle_beta 90.00
_cell_angle_gamma 120.00
_space_group_name_H-M_alt 'P 1'
_space_group_IT_number 1
_space_group_name_Hall 'P 1'
loop_
_atom_site_label
_atom_site_fract_x
_atom_site_fract_y
_atom_site_fract_z
Y1 0.000 0.000 0.250
Y2 0.000 0.000 0.750
Y3 0.333 0.667 0.250
Y4 0.667 0.333 0.750
Cr1 0.333 0.667 0.620
Cr2 0.333 0.667 0.880
Cr3 0.667 0.333 0.120
Cr4 0.667 0.333 0.380
Fe1 0.000 0.500 0.000
Fe2 0.000 0.500 0.500
Fe3 0.036 0.366 0.750
Fe4 0.036 0.670 0.750
Fe5 0.167 0.333 0.011
Fe6 0.167 0.333 0.489
Fe7 0.167 0.833 0.011
Fe8 0.167 0.833 0.489
Fe9 0.330 0.366 0.750
Fe10 0.330 0.964 0.750
Fe11 0.333 0.167 0.511
Fe12 0.333 0.167 0.989
Fe13 0.366 0.036 0.250
Fe14 0.366 0.330 0.250
Fe15 0.500 0.000 0.000
Fe16 0.500 0.000 0.500
Fe17 0.500 0.500 0.000
Fe18 0.500 0.500 0.500
Fe19 0.634 0.670 0.750
Fe20 0.634 0.964 0.750
Fe21 0.667 0.833 0.011
Fe22 0.667 0.833 0.489
Fe23 0.670 0.036 0.250
Fe24 0.670 0.634 0.250
Fe25 0.833 0.167 0.511
Fe26 0.833 0.167 0.989
Fe27 0.833 0.667 0.511
Fe28 0.833 0.667 0.989
Fe29 0.964 0.330 0.250
Fe30 0.964 0.634 0.250
```

## Properties
* size of the total moment: 52.1 μB/cell
* E_form: 0.007 eV per atom

***

3.
A relaxed YCrFe2 crystal, computed with PBE.

Cell and atoms, written as CIF:
```
data_YCrFe2
_cell_length_a 5.472
_cell_length_b 5.472
_cell_length_c 5.472
_cell_angle_alpha 42.52
_cell_angle_beta 42.52
_cell_angle_gamma 42.52
_space_group_name_H-M_alt 'P 1'
_space_group_IT_number 1
_space_group_name_Hall 'P 1'
loop_
_atom_site_label
_atom_site_fract_x
_atom_site_fract_y
_atom_site_fract_z
Y1 0.000 0.000 0.000
Cr1 0.500 0.500 0.500
Fe1 0.197 0.197 0.197
Fe2 0.803 0.803 0.803
```

## Properties
* energy above the lowest structure with this stoichiometry: 0 meV per atom
* size of the total moment: 1.6 μB/cell
* E_form: 0.143 eV per atom

***

4.
A relaxed Y8Cr4Fe crystal, computed with PBE.

Cell and atoms, written as CIF:
```
data_Y8Cr4Fe
_cell_length_a 8.226
_cell_length_b 8.226
_cell_length_c 8.226
_cell_angle_alpha 97.17
_cell_angle_beta 97.17
_cell_angle_gamma 138.62
_space_group_name_H-M_alt 'P 1'
_space_group_IT_number 1
_space_group_name_Hall 'P 1'
loop_
_atom_site_label
_atom_site_fract_x
_atom_site_fract_y
_atom_site_fract_z
Y1 0.000 0.000 0.500
Y2 0.000 0.226 0.226
Y3 0.000 0.500 0.000
Y4 0.000 0.774 0.774
Y5 0.226 0.000 0.226
Y6 0.500 0.000 0.000
Y7 0.500 0.500 0.500
Y8 0.774 0.000 0.774
Cr1 0.084 0.500 0.584
Cr2 0.500 0.084 0.584
Cr3 0.500 0.916 0.416
Cr4 0.916 0.500 0.416
Fe1 0.500 0.500 0.000
```

## Properties
* size of the total moment: 3.0 μB/cell
* E_form: 0.960 eV per atom